Pu2SbPt after structural relaxation, computed with PBE-GGA.

Output
crystal system = cubic
total energy = -10.28 eV per atom
formation energy (no corrections) = -0.572 eV/atom

```
Pu2SbPt
1.0
-4.4788 -2.4012 0.9523
-3.0400 -1.4516 -3.9222
-0.5368 -5.0155 -1.1355
Pu Sb Pt
2 1 1
Direct
0.7500 0.7500 0.7500
0.2500 0.2500 0.2500
0.0000 0.0000 0.0000
0.5000 0.5000 0.5000
```